Record 1
# TaCrRh3, relaxed, DFT PBE
data_TaCrRh3
_chemical_formula_sum 'Ta1 Cr1 Rh3'
_space_group_name_H-M_alt 'P m -3 m'
_space_group_IT_number 221
_space_group_name_Hall '-P 4 2 3'
_cell_length_a 4.412
_cell_length_b 4.412
_cell_length_c 4.412
_cell_angle_alpha 90.00
_cell_angle_beta 90.00
_cell_angle_gamma 90.00
loop_
_atom_site_label
_atom_site_fract_x
_atom_site_fract_y
_atom_site_fract_z
Ta1 0.000 0.000 0.000
Cr1 0.500 0.500 0.500
Rh1 0.000 0.500 0.500
# - E_tot (eV per atom) = -7.803
# - DOS(E_F) (states/eV/cell) = 8.47
# - DFT formation energy (eV per atom) = 0.903

---

Record 2
# Ac3SnRh2, relaxed, DFT PBE
data_Ac3SnRh2
_chemical_formula_sum 'Ac18 Sn6 Rh12'
_space_group_name_H-M_alt 'R -3 c'
_space_group_IT_number 167
_space_group_name_Hall '-R 3 2"c'
_cell_length_a 8.6382
_cell_length_b 8.6382
_cell_length_c 17.4404
_cell_angle_alpha 90.00
_cell_angle_beta 90.00
_cell_angle_gamma 120.00
loop_
_atom_site_label
_atom_site_fract_x
_atom_site_fract_y
_atom_site_fract_z
Ac1 0.0000 0.3006 0.2500
Sn1 0.0000 0.0000 0.0000
Rh1 0.0000 0.0000 0.1628
# - E_tot (eV per atom) = -5.763
# - DOS(E_F) (states/eV/cell) = 26.87
# - DFT formation energy (eV per atom) = -0.591

---

Record 3
# LiMgNiRu2, relaxed, DFT PBE
data_LiMgNiRu2
_chemical_formula_sum 'Li1 Mg1 Ni1 Ru2'
_space_group_name_H-M_alt 'P 4/m m m'
_space_group_IT_number 123
_space_group_name_Hall '-P 4 2'
_cell_length_a 4.639
_cell_length_b 4.639
_cell_length_c 4.409
_cell_angle_alpha 90.00
_cell_angle_beta 90.00
_cell_angle_gamma 90.00
loop_
_atom_site_label
_atom_site_fract_x
_atom_site_fract_y
_atom_site_fract_z
Li1 0.000 0.000 0.000
Mg1 0.500 0.500 0.500
Ni1 0.500 0.500 0.000
Ru1 0.000 0.500 0.500
# - E_tot (eV per atom) = -4.086
# - DOS(E_F) (states/eV/cell) = 5.99
# - DFT formation energy (eV per atom) = 1.483

---

Record 4
# Zr2AlNi3, relaxed, DFT PBE
data_Zr2AlNi3
_chemical_formula_sum 'Zr4 Al2 Ni6'
_space_group_name_H-M_alt 'P 6/m m m'
_space_group_IT_number 191
_space_group_name_Hall '-P 6 2'
_cell_length_a 8.2637
_cell_length_b 8.2637
_cell_length_c 3.1771
_cell_angle_alpha 90.00
_cell_angle_beta 90.00
_cell_angle_gamma 120.00
loop_
_atom_site_label
_atom_site_fract_x
_atom_site_fract_y
_atom_site_fract_z
Zr1 0.0000 0.0000 0.0000
Zr2 0.0000 0.5000 0.0000
Al1 0.3333 0.6667 0.5000
Ni1 0.1674 0.3347 0.5000
# - relative energy among the computed polymorphs (meV/atom) = 126
# - E_tot (eV per atom) = -6.759
# - DOS(E_F) (states/eV/cell) = 12.10
# - DFT formation energy (eV per atom) = -0.396

---

Record 5
# Tl2Te, relaxed, DFT PBE
data_Tl2Te
_chemical_formula_sum 'Tl8 Te4'
_space_group_name_H-M_alt 'C 1 m 1'
_space_group_IT_number 8
_cell_length_a 13.032
_cell_length_b 4.682
_cell_length_c 7.453
_cell_angle_alpha 90.00
_cell_angle_beta 90.99
_cell_angle_gamma 90.00
loop_
_space_group_symop_operation_xyz
'x,y,z'
'x,-y,z'
'x+1/2,y+1/2,z'
'x+1/2,-y+1/2,z'
loop_
_atom_site_label
_atom_site_fract_x
_atom_site_fract_y
_atom_site_fract_z
Tl1 0.000 0.000 0.000
Tl2 0.032 0.500 0.389
Tl3 0.285 0.000 0.898
Tl4 0.318 0.500 0.510
Te1 0.119 0.500 0.790
Te2 0.199 0.000 0.293
# - relative energy among the computed polymorphs (meV/atom) = 19
# - E_tot (eV per atom) = -2.904
# - formation energy from raw total energies (kJ per mole of atoms) = -27

---

Record 6
# SmTmOs, relaxed, DFT PBE
data_SmTmOs
_chemical_formula_sum 'Sm6 Tm6 Os6'
_space_group_name_H-M_alt 'P m m a'
_space_group_IT_number 51
_cell_length_a 13.870
_cell_length_b 4.077
_cell_length_c 7.913
_cell_angle_alpha 90.00
_cell_angle_beta 90.00
_cell_angle_gamma 90.00
loop_
_space_group_symop_operation_xyz
'x,y,z'
'-x,-y,-z'
'-x+1/2,-y,z'
'x+1/2,y,-z'
'x+1/2,-y,-z'
'-x+1/2,y,z'
'-x,y,-z'
'x,-y,z'
loop_
_atom_site_label
_atom_site_fract_x
_atom_site_fract_y
_atom_site_fract_z
Sm1 0.045 0.000 0.201
Sm2 0.250 0.000 0.853
Tm1 0.128 0.500 0.570
Tm2 0.250 0.500 0.190
Os1 0.096 0.500 0.937
Os2 0.250 0.000 0.441
# - relative energy among the computed polymorphs (meV/atom) = 2
# - E_tot (eV per atom) = -7.004
# - DOS(E_F) (states/eV/cell) = 11.36
# - DFT formation energy (eV per atom) = -0.197

---

Record 7
# Li3CuAg3, relaxed, DFT PBE
data_Li3CuAg3
_chemical_formula_sum 'Li12 Cu4 Ag12'
_space_group_name_H-M_alt 'C 1 2/m 1'
_space_group_IT_number 12
_cell_length_a 9.132
_cell_length_b 8.698
_cell_length_c 6.059
_cell_angle_alpha 90.00
_cell_angle_beta 90.01
_cell_angle_gamma 90.00
loop_
_space_group_symop_operation_xyz
'x,y,z'
'-x,-y,-z'
'-x,y,-z'
'x,-y,z'
'x+1/2,y+1/2,z'
'-x+1/2,-y+1/2,-z'
'-x+1/2,y+1/2,-z'
'x+1/2,-y+1/2,z'
loop_
_atom_site_label
_atom_site_fract_x
_atom_site_fract_y
_atom_site_fract_z
Li1 0.000 0.184 0.000
Li2 0.000 0.235 0.500
Li3 0.248 0.000 0.498
Cu1 0.247 0.500 0.997
Ag1 0.001 0.500 0.242
Ag2 0.250 0.249 0.752
# - E_tot (eV per atom) = -2.706
# - DOS(E_F) (states/eV/cell) = 4.92
# - DFT formation energy (eV per atom) = -0.079

---

Record 8
# Rb3MnTe3, relaxed, DFT PBE
data_Rb3MnTe3
_chemical_formula_sum 'Rb24 Mn8 Te24'
_space_group_name_H-M_alt 'C m c e'
_space_group_IT_number 64
_space_group_name_Hall '-C 2ac 2'
_cell_length_a 21.940
_cell_length_b 7.579
_cell_length_c 14.696
_cell_angle_alpha 90.00
_cell_angle_beta 90.00
_cell_angle_gamma 90.00
loop_
_atom_site_label
_atom_site_fract_x
_atom_site_fract_y
_atom_site_fract_z
Rb1 0.000 0.165 0.155
Rb2 0.177 0.171 0.871
Mn1 0.083 0.000 0.500
Te1 0.000 0.188 0.407
Te2 0.153 0.170 0.615
# - E_tot (eV per atom) = -3.830
# - formation energy from raw total energies (kJ per mole of atoms) = -73
# - DOS(E_F) (states/eV/cell) = 35.12

---

Record 9
# SrCd3Ag8, relaxed, DFT PBE
data_SrCd3Ag8
_chemical_formula_sum 'Sr1 Cd3 Ag8'
_space_group_name_H-M_alt 'P 3 m 1'
_space_group_IT_number 156
_cell_length_a 5.6613
_cell_length_b 5.6613
_cell_length_c 9.1373
_cell_angle_alpha 90.00
_cell_angle_beta 90.00
_cell_angle_gamma 120.00
loop_
_space_group_symop_operation_xyz
'x,y,z'
'-y,x-y,z'
'-x+y,-x,z'
'-y,-x,z'
'-x+y,y,z'
'x,x-y,z'
loop_
_atom_site_label
_atom_site_fract_x
_atom_site_fract_y
_atom_site_fract_z
Sr1 0.0000 0.0000 0.0000
Cd1 0.0000 0.0000 0.3963
Cd2 0.6667 0.3333 0.4887
Cd3 0.6667 0.3333 0.8323
Ag1 0.1643 0.3287 0.6808
Ag2 0.3333 0.6667 0.4358
Ag3 0.3333 0.6667 0.9365
Ag4 0.5035 0.0070 0.1938
# - relative energy among the computed polymorphs (meV/atom) = 4
# - E_tot (eV per atom) = -2.336
# - DOS(E_F) (states/eV/cell) = 3.33
# - DFT formation energy (eV per atom) = -0.066

---

Record 10
# Li2InIr, relaxed, DFT PBE
data_Li2InIr
_chemical_formula_sum 'Li4 In2 Ir2'
_space_group_name_H-M_alt 'C m m 2'
_space_group_IT_number 35
_cell_length_a 3.131
_cell_length_b 4.853
_cell_length_c 9.229
_cell_angle_alpha 90.00
_cell_angle_beta 90.00
_cell_angle_gamma 90.00
loop_
_space_group_symop_operation_xyz
'x,y,z'
'-x,-y,z'
'-x,y,z'
'x,-y,z'
'x+1/2,y+1/2,z'
'-x+1/2,-y+1/2,z'
'-x+1/2,y+1/2,z'
'x+1/2,-y+1/2,z'
loop_
_atom_site_label
_atom_site_fract_x
_atom_site_fract_y
_atom_site_fract_z
Li1 0.000 0.000 0.000
Li2 0.000 0.500 0.281
In1 0.000 0.000 0.537
Ir1 0.000 0.500 0.782
# - E_tot (eV per atom) = -3.806
# - DOS(E_F) (states/eV/cell) = 4.22
# - DFT formation energy (eV per atom) = 0.051

---

Record 11
# YScAlIn, relaxed, DFT PBE
data_YScAlIn
_chemical_formula_sum 'Y4 Sc4 Al4 In4'
_space_group_name_H-M_alt 'F -4 3 m'
_space_group_IT_number 216
_space_group_name_Hall 'F -4 2 3'
_cell_length_a 7.179
_cell_length_b 7.179
_cell_length_c 7.179
_cell_angle_alpha 90.00
_cell_angle_beta 90.00
_cell_angle_gamma 90.00
loop_
_atom_site_label
_atom_site_fract_x
_atom_site_fract_y
_atom_site_fract_z
Y1 0.000 0.000 0.000
Sc1 0.000 0.000 0.500
Al1 0.250 0.250 0.750
In1 0.250 0.250 0.250
# - relative energy among the computed polymorphs (meV/atom) = 27
# - E_tot (eV per atom) = -5.222
# - DOS(E_F) (states/eV/cell) = 8.92
# - DFT formation energy (eV per atom) = -0.402

---

Record 12
# TbGd2Mn, relaxed, DFT PBE
data_TbGd2Mn
_chemical_formula_sum 'Tb3 Gd6 Mn3'
_space_group_name_H-M_alt 'R -3 m'
_space_group_IT_number 166
_space_group_name_Hall '-R 3 2"'
_cell_length_a 3.4891
_cell_length_b 3.4891
_cell_length_c 31.6875
_cell_angle_alpha 90.00
_cell_angle_beta 90.00
_cell_angle_gamma 120.00
loop_
_atom_site_label
_atom_site_fract_x
_atom_site_fract_y
_atom_site_fract_z
Tb1 0.0000 0.0000 0.0000
Gd1 0.0000 0.0000 0.2393
Mn1 0.0000 0.0000 0.5000
# - relative energy among the computed polymorphs (meV/atom) = 171
# - E_tot (eV per atom) = -10.205
# - DOS(E_F) (states/eV/cell) = 16.38
# - DFT formation energy (eV per atom) = 0.286